VASP calculation (PBE) on an optimized crystal structure of Tl6InHg10.

The structure in POSCAR format:
```
Tl6InHg10
1.0
6.577 0.000 0.000
0.000 8.079 -4.665
0.000 0.000 9.329
Tl In Hg
6 1 10
direct
0.726 0.388 0.388
0.726 0.000 0.612
0.726 0.612 0.000
0.274 0.612 0.612
0.274 0.000 0.388
0.274 0.388 0.000
0.500 0.000 0.000
0.808 0.744 0.744
0.808 0.000 0.256
0.808 0.256 0.000
0.192 0.256 0.256
0.192 0.000 0.744
0.192 0.744 0.000
0.500 0.333 0.667
0.500 0.667 0.333
0.000 0.667 0.333
0.000 0.333 0.667
```

**V**: 29.2 A^3/atom
**Energy relative to the elements**: 8 meV/atom
**Total magnetic moment**: 0.00 μB per formula unit
**Symmetry**: P-31m